42
Lattice="-0.264 6.964 -1.948 -1.976 1.805 -6.723 -13.297 3.525 0.960" Properties=species:S:1:pos:R:3 comment="BaB2O4 (meta-GGA SCAN, single point on PBEsol structure)" density_kg_m3=3727 sg=R-3c raw_formation_energy_mev_per_atom=-2912 energy_ev_per_cell=-598.30 pbc="T T T"
Ba -7.614 3.252 -0.783
Ba -13.451 6.420 -2.112
Ba -7.922 9.042 -6.927
Ba -2.086 5.874 -5.599
Ba -3.884 3.074 -1.928
Ba -11.652 9.221 -5.783
B -8.802 7.065 -2.339
B -9.189 4.798 -3.247
B -9.535 6.781 -4.684
B -12.037 9.124 -0.836
B -12.300 3.595 -0.832
B -13.572 6.423 -5.417
B -6.735 5.229 -5.371
B -6.347 7.497 -4.463
B -6.002 5.514 -3.026
B -3.500 3.170 -6.875
B -3.236 8.699 -6.879
B -1.965 5.871 -2.294
O -9.195 7.593 -3.587
O -8.858 5.668 -2.188
O -9.570 5.387 -4.466
O -12.407 9.294 -2.187
O -11.970 4.719 -0.046
O -13.434 5.125 -4.883
O -6.342 4.701 -4.123
O -6.679 6.626 -5.523
O -5.966 6.907 -3.245
O -3.129 3.001 -5.524
O -3.567 7.575 -7.665
O -2.102 7.169 -2.828
O -9.814 7.279 -5.885
O -8.399 7.876 -1.365
O -9.134 3.480 -3.075
O -13.003 10.718 -4.025
O -13.351 7.490 -4.654
O -13.972 9.712 -7.023
O -5.722 5.015 -1.825
O -7.138 4.418 -6.346
O -6.402 8.814 -4.636
O -2.533 1.576 -3.686
O -2.185 4.805 -3.057
O -1.565 2.582 -0.688


4
Lattice="-1.890 -3.582 1.319 -0.868 -1.030 -4.041 6.520 -0.544 0.984" Properties=species:S:1:pos:R:3 comment="CdTe2As (meta-GGA SCAN, single point on PBEsol structure)" density_kg_m3=6876 sg=I4/mmm raw_formation_energy_mev_per_atom=28 polymorph_energy_ev_per_atom=0.000 energy_ev_per_cell=-125.00 pbc="T T T"
As 0.000 0.000 0.000
Te 2.471 -1.370 -0.181
Te 1.291 -3.787 -1.557
Cd -1.379 -2.306 -1.361


5
Lattice="-2.415 -1.320 -4.077 -3.758 -2.012 2.878 -2.439 4.528 -0.021" Properties=species:S:1:pos:R:3 comment="GaSeBr2N (meta-GGA SCAN, single point on PBEsol structure)" density_kg_m3=4116 sg=P4/mmm raw_formation_energy_mev_per_atom=827 energy_ev_per_cell=-80.50 pbc="T T T"
Ga 0.000 0.000 0.000
Se -1.208 -0.660 -2.038
Br -1.220 2.264 -0.010
Br -1.879 -1.006 1.439
N -4.306 0.598 -0.610


6
Lattice="-0.938 1.740 -1.597 -3.285 0.326 2.285 3.326 3.823 4.236" Properties=species:S:1:pos:R:3 comment="Mn5Os (meta-GGA SCAN, single point on PBEsol structure)" density_kg_m3=11674 delta_e_f_ev_per_atom=0.085 sg=Amm2 energy_ev_per_cell=-162.65 pbc="T T T"
Mn 2.351 5.502 2.594
Mn 1.898 3.118 2.284
Mn 0.508 2.475 0.377
Mn 0.877 4.302 4.174
Mn -0.485 3.705 2.301
Os -1.006 1.208 1.908


4
Lattice="3.065 0.000 0.000 0.000 4.187 0.000 0.000 0.000 6.003" Properties=species:S:1:pos:R:3 comment="ZnCd3 (meta-GGA SCAN, single point on PBEsol structure)" density_kg_m3=8679 delta_e_f_ev_per_atom=0.086 sg=Pmmm energy_ev_per_cell=-104.42 pbc="T T T"
Zn 1.532 2.094 0.000
Cd 0.000 0.000 4.567
Cd 0.000 0.000 1.436
Cd 1.532 2.094 3.002


4
Lattice="4.078 0.000 0.000 2.039 3.531 0.000 2.039 1.177 3.330" Properties=species:S:1:pos:R:3 comment="Fe2CoW (meta-GGA SCAN, single point on PBEsol structure)" density_kg_m3=12276 delta_e_f_ev_per_atom=0.026 sg=F-43m polymorph_energy_ev_per_atom=0.000 energy_ev_per_cell=-123.15 pbc="T T T"
Co 4.078 2.354 1.665
Fe 0.000 0.000 0.000
Fe 2.039 1.177 0.832
W 6.117 3.531 2.497


4
Lattice="-4.148 -2.325 1.776 -0.819 -4.528 -2.143 1.061 -3.887 3.086" Properties=species:S:1:pos:R:3 comment="SrSi (meta-GGA SCAN, single point on PBEsol structure)" density_kg_m3=3621 sg=R-3m raw_formation_energy_mev_per_atom=2 energy_ev_per_cell=-64.57 pbc="T T T"
Si -0.375 -1.032 0.261
Si -3.531 -9.707 2.458
Sr -1.356 -3.728 0.944
Sr -2.550 -7.011 1.776


4
Lattice="2.888 0.000 0.000 0.000 2.888 0.000 0.000 0.000 6.017" Properties=species:S:1:pos:R:3 comment="MgMnNi2 (meta-GGA SCAN, single point on PBEsol structure)" density_kg_m3=6506 delta_e_f_ev_per_atom=-0.263 sg=P4/mmm energy_ev_per_cell=-56.63 pbc="T T T"
Mg 1.444 1.444 0.000
Mn 1.444 1.444 3.008
Ni 0.000 0.000 4.355
Ni 0.000 0.000 1.662


32
Lattice="-2.702 6.342 1.648 -7.582 -3.321 0.349 1.315 -1.977 9.763" Properties=species:S:1:pos:R:3 comment="Ti5Sb3 (meta-GGA SCAN, single point on PBEsol structure)" density_kg_m3=6806 sg=Pnma raw_formation_energy_mev_per_atom=-568 energy_ev_per_cell=-785.90 pbc="T T T"
Ti 0.229 -0.793 9.617
Ti -8.287 0.254 6.871
Ti -6.346 3.086 2.012
Ti -3.534 -0.458 5.021
Ti -9.197 1.837 2.143
Ti -0.682 0.790 4.890
Ti -2.623 -2.042 9.748
Ti -5.435 1.503 6.740
Ti -3.097 2.842 8.930
Ti -5.583 -1.920 7.937
Ti -5.872 -1.797 2.831
Ti -3.386 2.965 3.823
Ti -1.992 0.500 10.673
Ti -5.079 -3.357 5.212
Ti -6.977 0.544 1.087
Ti -3.890 4.401 6.548
Ti -1.816 -0.222 7.618
Ti -6.872 1.160 9.253
Ti -7.153 1.267 4.142
Ti -2.097 -0.115 2.507
Sb -3.015 -2.587 6.905
Sb -4.281 0.259 9.117
Sb -9.644 2.016 5.024
Sb -0.998 2.401 2.473
Sb -5.954 3.632 4.855
Sb -4.688 0.785 2.643
Sb 0.675 -0.971 6.736
Sb -7.971 -1.357 9.287
Sb -2.798 1.876 6.234
Sb -4.659 -3.827 9.887
Sb -6.171 -0.832 5.526
Sb -4.310 4.871 1.874


32
Lattice="-4.102 -1.121 -0.610 -0.596 -2.292 8.216 -2.466 7.920 2.031" Properties=species:S:1:pos:R:3 comment="CaMg14MnO16 (meta-GGA SCAN, single point on PBEsol structure)" density_kg_m3=3659 sg=Pmmm raw_formation_energy_mev_per_atom=-2915 polymorph_energy_ev_per_atom=0.004 energy_ev_per_cell=-290.52 pbc="T T T"
Ca 0.000 0.000 0.000
Mg -0.298 -1.146 4.108
Mg -1.531 2.814 5.123
Mg -2.679 1.456 0.212
Mg -3.889 5.344 1.209
Mg -2.967 0.279 4.312
Mg -4.197 4.229 5.324
Mg -2.203 -1.146 1.795
Mg -3.434 2.822 2.781
Mg -2.495 -2.267 5.811
Mg -3.730 1.685 6.856
Mg -0.775 1.420 2.602
Mg -1.994 5.335 3.606
Mg -1.068 0.293 6.641
Mg -2.288 4.209 7.645
Mn -1.233 3.960 1.015
O -0.157 -0.604 2.164
O -1.388 3.365 3.148
O -0.439 -1.689 6.053
O -1.675 2.263 7.098
O -2.817 0.850 2.254
O -4.049 4.805 3.268
O -3.116 -0.298 6.368
O -4.347 3.657 7.382
O -2.051 -0.560 -0.305
O -3.284 3.400 0.710
O -2.349 -1.706 3.803
O -3.582 2.254 4.818
O -0.638 2.048 0.525
O -1.829 5.872 1.505
O -0.918 0.843 4.618
O -2.145 4.785 5.629


4
Lattice="-3.423 4.315 2.679 -5.037 2.084 -2.792 -5.534 -1.415 2.210" Properties=species:S:1:pos:R:3 comment="Cs2BiC (meta-GGA SCAN, single point on PBEsol structure)" density_kg_m3=4975 delta_e_f_ev_per_atom=1.212 sg=Fm-3m energy_ev_per_cell=-159.45 pbc="T T T"
Cs -3.499 1.246 0.524
Cs -10.496 3.738 1.572
C 0.000 0.000 0.000
Bi -6.998 2.492 1.048


4
Lattice="3.062 0.000 0.000 0.000 4.739 -0.041 0.000 -2.310 6.569" Properties=species:S:1:pos:R:3 comment="TcSeCl2 (meta-GGA SCAN, single point on PBEsol structure)" density_kg_m3=4330 sg=Cmmm raw_formation_energy_mev_per_atom=-399 energy_ev_per_cell=-72.69 pbc="T T T"
Tc 1.531 1.215 3.264
Se 1.531 -1.155 3.285
Cl 0.000 1.199 1.424
Cl 0.000 1.230 5.104


5
Lattice="3.978 0.000 0.000 0.000 3.978 0.000 0.000 0.000 3.978" Properties=species:S:1:pos:R:3 comment="Be3PdS (meta-GGA SCAN, single point on PBEsol structure)" density_kg_m3=4366 sg=Pm-3m raw_formation_energy_mev_per_atom=456 energy_ev_per_cell=-53.18 pbc="T T T"
Be 0.000 1.989 0.000
Be 0.000 0.000 1.989
Be 1.989 0.000 0.000
S 0.000 0.000 0.000
Pd 1.989 1.989 1.989


14
Lattice="5.813 0.000 0.000 2.907 5.034 0.000 2.907 1.678 4.747" Properties=species:S:1:pos:R:3 comment="LaCeB12 (meta-GGA SCAN, single point on PBEsol structure)" density_kg_m3=4886 delta_e_f_ev_per_atom=-0.598 sg=Fm-3m polymorph_energy_ev_per_atom=0.006 energy_ev_per_cell=-185.20 pbc="T T T"
B 8.720 4.024 2.845
B 2.907 0.668 0.472
B 7.845 4.529 4.274
B 2.032 1.173 1.901
B 9.595 4.529 4.274
B 3.782 1.173 1.901
B 9.595 5.540 2.845
B 3.782 2.183 0.472
B 7.845 5.540 2.845
B 2.032 2.183 0.472
B 8.720 6.045 4.274
B 2.907 2.689 1.901
Ce 0.000 0.000 0.000
La 5.813 3.356 2.373


4
Lattice="3.140 0.000 0.000 0.000 3.140 0.000 0.000 0.000 7.178" Properties=species:S:1:pos:R:3 comment="Sc2CoHg (meta-GGA SCAN, single point on PBEsol structure)" density_kg_m3=8200 delta_e_f_ev_per_atom=-0.534 sg=P4/mmm energy_ev_per_cell=-116.08 pbc="T T T"
Sc 0.000 0.000 5.667
Sc 0.000 0.000 1.511
Co 1.570 1.570 0.000
Hg 1.570 1.570 3.589


16
Lattice="-2.912 -1.377 -5.066 1.744 -4.361 3.739 -12.867 0.970 7.133" Properties=species:S:1:pos:R:3 comment="Ba3Al3Ga2 (meta-GGA SCAN, single point on PBEsol structure)" density_kg_m3=4564 delta_e_f_ev_per_atom=-0.396 sg=P6_3/mmc energy_ev_per_cell=-355.54 pbc="T T T"
Ba -7.837 -2.761 5.255
Ba -2.955 -2.251 -1.246
Ba -6.198 -2.007 0.551
Ba -6.433 0.485 3.567
Ba -11.079 -2.517 7.053
Ba 0.000 0.000 0.000
Al -10.293 -0.394 4.342
Al -3.126 -1.349 2.164
Al -11.828 -1.120 1.672
Al -2.206 -3.648 4.135
Al -10.909 -3.418 3.643
Al -3.741 -4.373 1.464
Ga -9.252 -1.776 2.245
Ga -4.782 -2.991 3.562
Ga -1.267 -3.256 1.613
Ga -12.768 -1.512 4.193


24
Lattice="5.165 0.000 0.246 0.000 6.827 0.000 -0.105 0.000 9.244" Properties=species:S:1:pos:R:3 comment="Na2SnPCO7 (meta-GGA SCAN, single point on PBEsol structure)" density_kg_m3=3255 sg=P2_1 raw_formation_energy_mev_per_atom=-1934 polymorph_energy_ev_per_atom=0.029 energy_ev_per_cell=-263.34 pbc="T T T"
Na 1.147 1.823 0.796
Na 3.870 0.042 2.505
Na 1.190 3.455 6.985
Na 3.913 5.237 8.694
Sn 1.160 5.041 3.314
Sn 3.900 1.627 6.176
P 1.472 1.677 3.880
P 3.588 5.090 5.610
C 1.367 5.186 0.603
C 3.693 1.772 8.887
O 0.232 5.172 1.279
O 3.797 1.606 0.899
O 2.464 5.350 1.286
O 1.144 2.906 2.983
O 0.973 0.462 3.044
O 4.274 5.192 4.218
O 2.998 1.534 4.111
O 2.062 4.947 5.379
O 0.786 1.779 5.272
O 4.086 3.876 6.446
O 3.916 6.319 6.507
O 2.595 1.936 8.204
O 1.263 5.019 8.592
O 4.828 1.759 8.211


4
Lattice="3.099 0.000 0.000 0.000 4.235 0.000 0.000 0.000 7.225" Properties=species:S:1:pos:R:3 comment="KZrCr2 (meta-GGA SCAN, single point on PBEsol structure)" density_kg_m3=4103 delta_e_f_ev_per_atom=0.877 sg=Pmmm polymorph_energy_ev_per_atom=0.400 energy_ev_per_cell=-72.29 pbc="T T T"
Cr 0.000 0.000 4.552
Cr 0.000 0.000 2.672
K 1.550 2.118 0.000
Zr 1.550 2.118 3.612


5
Lattice="-0.308 1.066 -3.315 -2.576 -2.308 -0.503 -3.490 3.575 1.473" Properties=species:S:1:pos:R:3 comment="ZnCu2N2 (meta-GGA SCAN, single point on PBEsol structure)" density_kg_m3=5754 sg=P-4m2 raw_formation_energy_mev_per_atom=584 energy_ev_per_cell=-59.58 pbc="T T T"
Zn 0.000 0.000 0.000
Cu -3.956 1.954 -0.847
Cu -2.418 0.378 -1.497
N -0.893 1.290 -1.345
N -4.039 1.663 0.910


18
Lattice="5.577 0.000 0.000 0.000 8.355 0.000 -2.789 -4.178 9.816" Properties=species:S:1:pos:R:3 comment="K3TlAu5 (meta-GGA SCAN, single point on PBEsol structure)" density_kg_m3=9487 delta_e_f_ev_per_atom=-0.400 sg=Imma energy_ev_per_cell=-893.47 pbc="T T T"
Au 0.000 0.356 2.814
Au 0.000 0.356 7.001
Au 2.789 3.822 2.814
Au 2.789 3.822 7.001
Au 4.183 2.089 1.186
Au 1.394 2.089 8.630
Au -1.394 2.089 8.630
Au 1.394 2.089 1.186
Au 0.000 0.000 0.000
Au 2.789 4.178 0.000
K 0.000 5.188 1.722
K 0.000 -3.167 8.094
K 2.789 7.344 1.722
K 2.789 -1.011 8.094
K 0.000 3.179 4.908
K 2.789 0.999 4.908
Tl 0.000 -1.385 4.908
Tl 2.789 5.562 4.908


5
Lattice="-2.199 -3.522 1.962 0.204 -2.329 -3.953 4.027 -1.805 1.272" Properties=species:S:1:pos:R:3 comment="SrZn3Co (meta-GGA SCAN, single point on PBEsol structure)" density_kg_m3=5876 delta_e_f_ev_per_atom=-0.095 sg=Pm-3m energy_ev_per_cell=-80.60 pbc="T T T"
Sr 1.016 -3.828 -0.360
Zn 0.102 -1.164 -1.976
Zn 2.013 -0.903 0.636
Zn -1.100 -1.761 0.981
Co 0.000 0.000 0.000